PBE Li3CrRu, optimized geometry; DFT formation energy = 1341 meV/atom; space group = Pm-3m, No. 221; magnetization = 5.001 μB/cell; N(E_F) = 0.4069 states/eV per atom
1.0
4.3344 0.0000 0.0000
0.0000 4.3344 0.0000
0.0000 0.0000 4.3344
Ru Li Cr
1 3 1
direct
0.5000 0.5000 0.5000
0.0000 0.5000 0.0000
0.0000 0.0000 0.5000
0.5000 0.0000 0.0000
0.0000 0.0000 0.0000

***

PBE Li2CrRu, optimized geometry; DFT formation energy = 242 meV/atom; space group = Immm, No. 71; magnetization = 1.709 μB/cell; ΔE to the lowest computed polymorph = 29 meV per atom; N(E_F) = 0.6499 states/eV per atom
1.0
-4.0214 2.7446 1.8556
-3.2207 -1.7769 3.6902
4.9156 1.0730 -1.3542
Cr Li Ru
1 2 1
direct
0.2500 0.7500 0.5000
0.9971 0.9971 0.0000
0.5029 0.5029 0.0000
0.7500 0.2500 0.5000

***

PBE Li2CrRu, optimized geometry; DFT formation energy = 516 meV/atom; space group = P4/mmm, No. 123; magnetization = 2.701 μB/cell; ΔE to the lowest computed polymorph = 303 meV per atom; N(E_F) = 0.4519 states/eV per atom
1.0
3.3253 0.0000 0.0000
0.0000 3.3253 0.0000
0.0000 0.0000 4.8267
Cr Li Ru
1 2 1
direct
0.5000 0.5000 0.7500
0.0000 0.0000 0.0156
0.0000 0.0000 0.4844
0.5000 0.5000 0.2500

***

Q: What is the magnetization in the third record?
A: 2.701 μB/cell

***

Q: Which formula does entry 3 have?
A: Li2CrRu